(1)
Below is an optimized crystal structure of Al53Fe17Si12, with properties calculated at the PBE-GGA level.

Output
Raw formation energy (kJ/mol of atoms): -30
Total magnetic moment (μB/f.u.): 0.00
Space-group type: P-1, No. 2
E (eV per atom): -5.28

Structure (POSCAR):
```
Al53Fe17Si12
1.0
8.800 0.000 0.000
-2.906 8.308 0.000
-2.900 -4.185 16.103
Al Fe Si
53 17 12
Direct
0.000 0.000 0.000
0.057 0.767 0.615
0.062 0.285 0.125
0.069 0.425 0.777
0.073 0.923 0.282
0.094 0.691 0.396
0.100 0.200 0.888
0.150 0.293 0.529
0.162 0.787 0.031
0.208 0.553 0.646
0.223 0.057 0.157
0.235 0.483 0.427
0.244 0.980 0.918
0.246 0.089 0.767
0.249 0.592 0.273
0.297 0.758 0.547
0.310 0.271 0.051
0.319 0.081 0.622
0.323 0.587 0.126
0.354 0.524 0.965
0.356 0.023 0.464
0.384 0.420 0.807
0.388 0.922 0.307
0.438 0.748 0.820
0.445 0.255 0.325
0.457 0.411 0.660
0.464 0.914 0.162
0.536 0.086 0.838
0.543 0.589 0.340
0.555 0.745 0.675
0.562 0.252 0.180
0.612 0.078 0.693
0.616 0.580 0.193
0.644 0.977 0.536
0.646 0.476 0.035
0.677 0.413 0.874
0.681 0.919 0.378
0.690 0.729 0.949
0.703 0.242 0.453
0.751 0.408 0.727
0.754 0.911 0.233
0.756 0.020 0.082
0.765 0.517 0.573
0.777 0.943 0.843
0.792 0.447 0.354
0.838 0.213 0.969
0.850 0.707 0.471
0.900 0.800 0.112
0.906 0.309 0.604
0.927 0.077 0.718
0.931 0.575 0.223
0.938 0.715 0.875
0.943 0.233 0.385
0.000 0.500 0.500
0.162 0.264 0.671
0.163 0.765 0.170
0.206 0.691 0.897
0.207 0.190 0.397
0.340 0.866 0.703
0.342 0.366 0.203
0.406 0.260 0.919
0.406 0.760 0.419
0.594 0.240 0.581
0.594 0.740 0.081
0.658 0.634 0.797
0.660 0.134 0.297
0.793 0.810 0.603
0.794 0.309 0.103
0.837 0.235 0.830
0.838 0.736 0.329
0.020 0.977 0.429
0.021 0.475 0.929
0.139 0.750 0.771
0.146 0.257 0.276
0.452 0.347 0.491
0.455 0.849 0.988
0.545 0.151 0.012
0.548 0.653 0.509
0.854 0.743 0.724
0.861 0.250 0.229
0.979 0.525 0.071
0.980 0.023 0.571
```


(2)
Below is an optimized crystal structure of LiSc2Mn, with properties calculated at the PBE-GGA level.

Output
Energy relative to the elements (eV per atom): 0.247
Total magnetic moment (μB/f.u.): 2.10
Space-group type: Pmm2, No. 25
E (eV per atom): -5.69

Structure (POSCAR):
```
LiSc2Mn
1.0
3.163 0.000 0.000
0.000 4.138 0.000
0.000 0.000 5.972
Li Sc Mn
1 2 1
Direct
0.000 0.000 0.000
0.000 0.000 0.449
0.500 0.500 0.757
0.500 0.500 0.262
```


(3)
Below is an optimized crystal structure of CsErPd2F8, with properties calculated at the PBE-GGA level.

Output
Raw formation energy (kJ/mol of atoms): -209
Total magnetic moment (μB/f.u.): 4.00
Space-group type: P-3, No. 147
E (eV per atom): -4.74

Structure (POSCAR):
```
CsErPd2F8
1.0
5.937 0.000 0.000
-2.968 5.141 0.000
0.000 0.000 8.435
Cs Er Pd F
1 1 2 8
Direct
0.000 0.000 0.000
0.000 0.000 0.500
0.333 0.667 0.727
0.667 0.333 0.273
0.008 0.293 0.656
0.284 0.992 0.656
0.293 0.284 0.344
0.333 0.667 0.965
0.667 0.333 0.035
0.707 0.716 0.656
0.716 0.008 0.344
0.992 0.707 0.344
```


(4)
Below is an optimized crystal structure of CuAg4Se, with properties calculated at the PBE-GGA level.

Output
Raw formation energy (kJ/mol of atoms): 34
Total magnetic moment (μB/f.u.): 0.00
Space-group type: F-43m, No. 216
E (eV per atom): -2.81

Structure (POSCAR):
```
CuAg4Se
1.0
0.000 3.878 3.878
3.878 0.000 3.878
3.878 3.878 0.000
Cu Ag Se
1 4 1
Direct
0.000 0.000 0.000
0.123 0.626 0.626
0.626 0.123 0.626
0.626 0.626 0.123
0.626 0.626 0.626
0.250 0.250 0.250
```